Pa3RhS2O6: relaxed, GGA-PBE.

Values from the calculation:
Space group = C2/m (12)
Formation energy (no corrections) = -2.48 eV/atom
Calculated total energy = -0.6343 Ry per atom

a b c (Å): 5.724 7.536 6.969
angles (deg): 122.73 77.93 90.00
Site moments in Bohr magnetons follow the coordinates.
Positions (direct):
Pa (0.000, 0.500, 0.000)  0.03
Pa (0.500, 0.500, 0.500)  0.00
Pa (0.500, 0.000, 0.500)  0.00
Rh (0.500, 0.000, 0.000)  1.58
S (0.198, 0.692, 0.384)  0.00
S (0.802, 0.308, 0.616)  0.00
O (0.751, 0.386, 0.173)  0.03
O (0.249, 0.614, 0.827)  0.03
O (0.607, 0.815, 0.630)  0.01
O (0.393, 0.185, 0.370)  0.01
O (0.249, 0.214, 0.827)  0.03
O (0.751, 0.786, 0.173)  0.03